Here is crystalline IrOsPt2 at its relaxed geometry from Alexandria. Energies are from PBE-GGA.

Properties
Density = 21.31 g cm⁻³
E above lowest polymorph = 0.0091 eV/atom
Formation energy from the elements = -0.01 eV/atom
DFT total energy = -32.2 eV per cell
Fermi-level density of states = 0.694 states/eV per atom

Structure (CIF):
```
data_IrOsPt2
_symmetry_space_group_name_H-M 'P 4 m m'
_symmetry_Int_Tables_number 99
_cell_length_a 2.753
_cell_length_b 2.753
_cell_length_c 7.945
_cell_angle_alpha 90.00
_cell_angle_beta 90.00
_cell_angle_gamma 90.00
loop_
_symmetry_equiv_pos_as_xyz
'x,y,z'
'-y,x,z'
'-x,-y,z'
'y,-x,z'
'-x,y,z'
'y,x,z'
'x,-y,z'
'-y,-x,z'
loop_
_atom_site_label
_atom_site_type_symbol
_atom_site_fract_x
_atom_site_fract_y
_atom_site_fract_z
_atom_site_occupancy
Ir1 Ir 0.000 0.000 0.000 1
Os1 Os 0.500 0.500 0.226 1
Pt1 Pt 0.000 0.000 0.474 1
Pt2 Pt 0.500 0.500 0.742 1
```